Here is a relaxed RbNaTl2F4 crystal from Alexandria. Energies are from GGA-PBE.

Computed properties:
Size of the total moment (μB/atom): 0.000
Calculated total energy (Ha/atom): -0.146
Raw formation energy (eV/atom): -2.158

Cell: 3.8543 6.7959 6.6573 Å, 70.73 90.00 90.00°
Closest atoms and distances in Å follow each position.
Sites, in units of the cell vectors:
F 0.0000 0.7295 0.7702  2 Na 2.63, 1 Rb 2.74, 3 Tl 2.75-2.85
Tl 0.5000 0.0000 0.5000  6 F 2.85-3.05
Na 0.5000 0.5000 0.0000  6 F 2.44-2.63
Rb 0.0000 0.5000 0.5000  6 F 2.74-2.76
F 0.5000 0.7228 0.2216  1 Na 2.44
F 0.5000 0.2772 0.7785  1 Na 2.44
F 0.0000 0.2705 0.2298  2 Na 2.63, 1 Rb 2.74, 3 Tl 2.75-2.85
Tl 0.0000 0.0000 0.0000  6 F 2.75-2.76